First-principles (PBE-GGA) data for an optimized crystal structure of FeSe3, as listed in Alexandria via LeMat-Bulk.

The space group is Im-3m (No. 229) and the conventional cell measures 5.420, 5.420 and 5.420 Å, with angles of 90.00, 90.00 and 90.00 degrees. The distinct sites, in fractional coordinates, are Fe at (0.000, 0.000, 0.000) and Se at (0.000, 0.000, 0.500).

As for the formation energy from raw total energies: 0.228 eV per atom. Its uncorrected energy is -36.01 eV for the cell shown. The total moment comes out at 6.2 μB per cell. For the density of states at the Fermi level, the calculation gives 6.615 states/eV/f.u.